VASP calculation (PBE) on a relaxed structure of Cd5SnPd2.

Properties
The value obtained for the density is 8715 kg/m³. As for the final energy: -2.56 eV per atom.

Cell: 6.583 6.583 6.583 Å, 140.67 96.64 96.37°
Fractional coordinates of all 8 atoms:
Cd (0.000, 0.000, 0.000)
Cd (0.004, 0.330, 0.675)
Cd (0.345, 0.670, 0.675)
Cd (0.655, 0.330, 0.325)
Cd (0.996, 0.670, 0.325)
Sn (0.500, 0.000, 0.500)
Pd (0.321, 0.321, 0.000)
Pd (0.679, 0.679, 0.000)